Record 1
Li2PmSO5 PBE optimized geometry; SG = I4/mcm (140); energy relative to the elements, uncorrected = -1.735 eV per atom; V = 226 Å³ per cell; crystal system = tetragonal
1.0
6.820 0.000 0.000
0.000 6.820 0.000
-3.410 -3.410 4.859
Pm O S Li
2 10 2 4
direct
0.750 0.750 0.500 Pm
0.250 0.250 0.500 Pm
0.703 0.203 0.667 O
0.297 0.797 0.333 O
0.464 0.703 0.667 O
0.036 0.536 0.333 O
0.797 0.036 0.333 O
0.000 0.000 0.000 O
0.500 0.500 0.000 O
0.964 0.464 0.667 O
0.536 0.297 0.333 O
0.203 0.964 0.667 O
0.250 0.750 0.500 S
0.750 0.250 0.500 S
0.267 0.233 0.000 Li
0.233 0.733 0.000 Li
0.767 0.267 0.000 Li
0.733 0.767 0.000 Li

---

Record 2
Mo2SeCl PBE optimized geometry; SG = Immm (71); energy relative to the elements, uncorrected = 0.589 eV per atom; energy above the most stable polymorph in this dataset = 781.7 meV per atom; V = 69 Å³ per cell; crystal system = orthorhombic
1.0
-1.490 -4.680 1.693
-1.672 -2.441 -4.271
4.063 2.004 2.543
Mo Se Cl
2 1 1
direct
0.501 0.501 0.000 Mo
0.999 0.999 0.000 Mo
0.750 0.250 0.500 Se
0.250 0.750 0.500 Cl

---

Record 3
La2Sm5YSc PBE optimized geometry; SG = Cmcm (63); V = 611 Å³ per cell; crystal system = orthorhombic; ΔH_f (0 K) = 0.120 eV per atom
1.0
-2.436 3.499 3.423
-7.569 -1.329 -8.395
-4.159 -7.767 4.979
Sc La Sm Y
2 4 10 2
direct
0.785 0.571 0.508 Sc
0.215 0.429 0.008 Sc
0.883 0.766 0.766 La
0.883 0.766 0.250 La
0.117 0.234 0.266 La
0.117 0.234 0.750 La
0.000 0.000 0.008 Sm
0.500 0.000 0.758 Sm
0.276 0.552 0.695 Sm
0.627 0.254 0.508 Sm
0.000 0.000 0.508 Sm
0.276 0.553 0.321 Sm
0.500 0.000 0.258 Sm
0.373 0.746 0.008 Sm
0.724 0.447 0.821 Sm
0.724 0.448 0.195 Sm
0.397 0.794 0.508 Y
0.603 0.206 0.008 Y

---

Record 4
CuAgHgTe2 PBE optimized geometry; SG = P2/c (13); energy relative to the elements, uncorrected = -0.032 eV per atom; V = 274 Å³ per cell; crystal system = monoclinic
1.0
-4.746 -4.599 -2.273
-0.107 -3.179 6.656
-3.901 3.259 1.552
Ag Hg Cu Te
2 2 2 4
direct
0.392 0.000 0.750 Ag
0.608 0.000 0.250 Ag
0.771 0.500 0.250 Hg
0.229 0.500 0.750 Hg
0.000 0.000 0.500 Cu
0.000 0.000 0.000 Cu
0.246 0.766 0.379 Te
0.754 0.234 0.621 Te
0.754 0.766 0.879 Te
0.246 0.234 0.121 Te

---

Record 5
NaSrSn2 PBE optimized geometry; SG = Cmcm (63); V = 260 Å³ per cell; crystal system = orthorhombic; ΔH_f (0 K) = -0.439 eV per atom
1.0
-6.874 -1.797 1.925
6.700 0.656 2.980
-1.416 7.146 1.612
Sr Sn Na
2 4 2
direct
0.061 0.939 0.250 Sr
0.939 0.061 0.750 Sr
0.397 0.603 0.056 Sn
0.603 0.397 0.944 Sn
0.397 0.603 0.444 Sn
0.603 0.397 0.556 Sn
0.780 0.220 0.250 Na
0.220 0.780 0.750 Na

---

Record 6
Sm2Se2S PBE optimized geometry; SG = C2/c (15); energy relative to the elements, uncorrected = -1.764 eV per atom; energy above the most stable polymorph in this dataset = 181.0 meV per atom; V = 274 Å³ per cell; crystal system = monoclinic
1.0
7.556 0.667 0.957
-0.917 7.530 0.957
-2.231 -2.754 4.125
Sm S Se
4 2 4
direct
0.612 0.388 0.750 Sm
0.857 0.143 0.250 Sm
0.388 0.612 0.250 Sm
0.143 0.857 0.750 Sm
0.130 0.870 0.250 S
0.870 0.130 0.750 S
0.444 0.211 0.076 Se
0.556 0.789 0.924 Se
0.789 0.556 0.424 Se
0.211 0.444 0.576 Se

---

Record 7
BaLiHg2 PBE optimized geometry; SG = C2/m (12); V = 121 Å³ per cell; crystal system = monoclinic; ΔH_f (0 K) = -0.421 eV per atom
1.0
-2.922 0.357 -4.032
1.361 -2.225 -4.257
-3.241 -5.271 -1.237
Hg Li Ba
2 1 1
direct
0.544 0.544 0.367 Hg
0.956 0.956 0.133 Hg
0.250 0.250 0.250 Li
0.750 0.750 0.750 Ba

---

Record 8
TbSm7Tl3 PBE optimized geometry; SG = P3m1 (156); V = 373 Å³ per cell; crystal system = trigonal; ΔH_f (0 K) = -0.053 eV per atom
1.0
7.965 0.000 0.000
0.000 7.356 0.000
0.000 -3.678 6.370
Sm Tl Tb
7 3 1
direct
0.465 0.829 0.171 Sm
0.105 0.667 0.333 Sm
0.103 0.171 0.343 Sm
0.103 0.171 0.829 Sm
0.103 0.657 0.829 Sm
0.465 0.342 0.171 Sm
0.465 0.829 0.658 Sm
0.782 0.498 0.997 Tl
0.782 0.003 0.502 Tl
0.782 0.498 0.502 Tl
0.460 0.333 0.667 Tb

---

Record 9
Pu3Si2Pd2 PBE optimized geometry; SG = Pbcm (57); energy relative to the elements, uncorrected = -0.560 eV per atom; V = 577 Å³ per cell; crystal system = orthorhombic
1.0
-0.082 5.618 0.088
-1.328 -0.143 7.844
12.726 0.152 2.158
Pd Pu Si
8 12 8
direct
0.388 0.541 0.592 Pd
0.612 0.041 0.908 Pd
0.388 0.959 0.092 Pd
0.612 0.459 0.408 Pd
0.612 0.459 0.092 Pd
0.388 0.541 0.908 Pd
0.388 0.959 0.408 Pd
0.612 0.041 0.592 Pd
0.875 0.111 0.104 Pu
0.666 0.744 0.750 Pu
0.875 0.389 0.604 Pu
0.125 0.611 0.396 Pu
0.125 0.889 0.604 Pu
0.334 0.256 0.250 Pu
0.875 0.389 0.896 Pu
0.875 0.111 0.396 Pu
0.334 0.244 0.750 Pu
0.125 0.611 0.104 Pu
0.125 0.889 0.896 Pu
0.666 0.756 0.250 Pu
0.156 0.899 0.250 Si
0.674 0.750 0.500 Si
0.674 0.750 0.000 Si
0.326 0.250 0.500 Si
0.156 0.601 0.750 Si
0.844 0.101 0.750 Si
0.844 0.399 0.250 Si
0.326 0.250 0.000 Si

---

Record 10
Na2BiOsO6 PBE optimized geometry; SG = C2/m (12); energy relative to the elements, uncorrected = -1.256 eV per atom; V = 135 Å³ per cell; crystal system = monoclinic
1.0
5.742 0.000 -0.278
0.000 5.830 0.000
-2.541 -2.915 4.163
O Bi Na Os
6 1 2 1
direct
0.152 0.202 0.865 O
0.848 0.337 0.135 O
0.848 0.798 0.135 O
0.340 0.718 0.436 O
0.660 0.282 0.564 O
0.152 0.663 0.865 O
0.500 0.000 0.000 Bi
0.220 0.247 0.493 Na
0.780 0.753 0.507 Na
0.000 0.500 0.000 Os

---

Record 11
TiTl2As2 PBE optimized geometry; SG = P4/mbm (127); V = 247 Å³ per cell; crystal system = tetragonal; ΔH_f (0 K) = -0.047 eV per atom
1.0
6.679 0.000 0.000
0.000 6.679 0.000
0.000 0.000 5.531
Tl As Ti
4 4 2
direct
0.189 0.689 0.500 Tl
0.811 0.311 0.500 Tl
0.311 0.189 0.500 Tl
0.689 0.811 0.500 Tl
0.865 0.635 0.000 As
0.135 0.365 0.000 As
0.635 0.135 0.000 As
0.365 0.865 0.000 As
0.000 0.000 0.000 Ti
0.500 0.500 0.000 Ti